Material: PaCoNi
Method: DFT, PBE
State: relaxed

Cell: 3.429 3.429 4.787 Å, 110.98 110.98 90.00°
Element x y z (fractional)
Co 0.676 0.676 0.352
Ni 0.999 0.999 0.999
Pa 0.325 0.325 0.649

Output
The space group is No. 107. For the formation energy, the calculation gives -170 meV per atom. The total energy comes out at -22.89 eV for the cell shown. As for the total magnetization: 0.0 μB per formula unit.

=====

Material: Pa2Co9Ni
Method: DFT, PBE
State: relaxed

Cell: 3.763 3.763 10.939 Å, 90.00 90.00 90.00°
Site moments in Bohr magnetons follow the coordinates.
Element x y z (fractional)
Pa 0.000 0.000 0.326  -0.45
Pa 0.000 0.000 0.674  -0.45
Co 0.500 0.500 0.000  1.78
Co 0.000 0.500 0.500  0.47
Co 0.500 0.000 0.500  0.47
Co 0.500 0.500 0.677  0.53
Co 0.500 0.500 0.323  0.53
Co 0.000 0.500 0.856  1.27
Ni 0.000 0.000 0.000  0.90
Co 0.500 0.000 0.856  1.27
Co 0.500 0.000 0.144  1.27
Co 0.000 0.500 0.144  1.27

Output
The space group is No. 123. For the formation energy, the calculation gives -153 meV per atom. The total energy comes out at -90.57 eV for the cell shown. As for the total magnetization: 8.6 μB per formula unit.